No. 1
DFT (PBE) results for CaTl6Hg12 after structural relaxation.

Unit cell a=8.8219 b=8.8219 c=8.8219 alpha=107.66 beta=107.66 gamma=107.66
Element x y z (fractional)
Ca (0.0000, 0.0000, 0.0000)
Tl (0.0534, 0.4700, 0.2221)
Tl (0.2221, 0.0534, 0.4700)
Tl (0.4700, 0.2221, 0.0534)
Tl (0.5300, 0.7779, 0.9466)
Tl (0.7779, 0.9466, 0.5300)
Tl (0.9466, 0.5300, 0.7779)
Hg (0.1311, 0.2874, 0.8592)
Hg (0.1408, 0.8689, 0.7126)
Hg (0.2102, 0.4416, 0.5999)
Hg (0.2874, 0.8592, 0.1311)
Hg (0.4001, 0.7898, 0.5584)
Hg (0.4416, 0.5999, 0.2102)
Hg (0.5584, 0.4001, 0.7898)
Hg (0.5999, 0.2102, 0.4416)
Hg (0.7126, 0.1408, 0.8689)
Hg (0.7898, 0.5584, 0.4001)
Hg (0.8592, 0.1311, 0.2874)
Hg (0.8689, 0.7126, 0.1408)

The calculation puts the density of states at the Fermi level at 6.52 states/eV/cell. The formation energy comes out at -0.946 eV per formula unit. The calculation puts the total magnetization at 0.000 μB/f.u.

---

No. 2
DFT (PBE) results for CaTlHg after structural relaxation.

Unit cell a=9.6730 b=9.6730 c=4.7504 alpha=90.00 beta=90.00 gamma=157.78
Element x y z (fractional)
Ca (0.1231, 0.8769, 0.7500)
Ca (0.8769, 0.1231, 0.2500)
Tl (0.4520, 0.5480, 0.7500)
Tl (0.5480, 0.4520, 0.2500)
Hg (0.2887, 0.7113, 0.7500)
Hg (0.7113, 0.2887, 0.2500)

The calculation puts the density of states at the Fermi level at 2.29 states/eV/cell. The formation energy comes out at -0.941 eV per formula unit. The calculation puts the total magnetization at 0.000 μB/f.u.

---

No. 3
DFT (PBE) results for CaTlHg3 after structural relaxation.

Unit cell a=8.7520 b=8.7520 c=8.7520 alpha=43.67 beta=43.67 gamma=43.67
Element x y z (fractional)
Ca (0.0996, 0.0996, 0.0996)
Ca (0.9004, 0.9004, 0.9004)
Tl (0.3354, 0.3354, 0.3354)
Tl (0.6646, 0.6646, 0.6646)
Hg (0.1104, 0.6160, 0.6160)
Hg (0.3840, 0.3840, 0.8896)
Hg (0.3840, 0.8896, 0.3840)
Hg (0.6160, 0.1104, 0.6160)
Hg (0.6160, 0.6160, 0.1104)
Hg (0.8896, 0.3840, 0.3840)

The calculation puts the density of states at the Fermi level at 3.26 states/eV/cell. The formation energy comes out at -0.985 eV per formula unit. The calculation puts the total magnetization at 0.000 μB/f.u.

---

No. 4
DFT (PBE) results for Ca6TlHg3 after structural relaxation.

Unit cell a=9.5679 b=5.4654 c=11.9508 alpha=90.00 beta=106.81 gamma=90.00
Element x y z (fractional)
Ca (0.0142, 0.2500, 0.4026)
Ca (0.1261, 0.7500, 0.1787)
Ca (0.2553, 0.2500, 0.9940)
Ca (0.3446, 0.7500, 0.8226)
Ca (0.3573, 0.2500, 0.3144)
Ca (0.3958, 0.2500, 0.6099)
Ca (0.6042, 0.7500, 0.3901)
Ca (0.6427, 0.7500, 0.6856)
Ca (0.6554, 0.2500, 0.1774)
Ca (0.7447, 0.7500, 0.0060)
Ca (0.8739, 0.2500, 0.8213)
Ca (0.9858, 0.7500, 0.5974)
Tl (0.4355, 0.7500, 0.1197)
Tl (0.5645, 0.2500, 0.8803)
Hg (0.0409, 0.7500, 0.8896)
Hg (0.1352, 0.2500, 0.7093)
Hg (0.2825, 0.7500, 0.4652)
Hg (0.7175, 0.2500, 0.5348)
Hg (0.8648, 0.7500, 0.2907)
Hg (0.9591, 0.2500, 0.1104)

The calculation puts the density of states at the Fermi level at 15.34 states/eV/cell. The formation energy comes out at -4.156 eV per formula unit. The calculation puts the total magnetization at 0.000 μB/f.u.

---

No. 5
DFT (PBE) results for Ca4TlHg15 after structural relaxation.

Unit cell a=4.7633 b=4.7633 c=23.0273 alpha=90.00 beta=90.00 gamma=90.00
Element x y z (fractional)
Ca (0.0000, 0.0000, 0.0998)
Ca (0.0000, 0.0000, 0.3024)
Ca (0.0000, 0.0000, 0.6976)
Ca (0.0000, 0.0000, 0.9002)
Tl (0.0000, 0.0000, 0.5000)
Hg (0.0000, 0.5000, 0.0000)
Hg (0.0000, 0.5000, 0.2008)
Hg (0.0000, 0.5000, 0.3995)
Hg (0.0000, 0.5000, 0.6005)
Hg (0.0000, 0.5000, 0.7992)
Hg (0.5000, 0.0000, 0.0000)
Hg (0.5000, 0.0000, 0.2008)
Hg (0.5000, 0.0000, 0.3995)
Hg (0.5000, 0.0000, 0.6005)
Hg (0.5000, 0.0000, 0.7992)
Hg (0.5000, 0.5000, 0.0981)
Hg (0.5000, 0.5000, 0.3010)
Hg (0.5000, 0.5000, 0.5000)
Hg (0.5000, 0.5000, 0.6990)
Hg (0.5000, 0.5000, 0.9019)

The calculation puts the density of states at the Fermi level at 9.53 states/eV/cell. The formation energy comes out at -6.045 eV per formula unit. The calculation puts the total magnetization at 0.000 μB/f.u.

---

No. 6
DFT (PBE) results for Ca2Tl6Hg after structural relaxation.

Unit cell a=9.5513 b=9.5513 c=3.5901 alpha=90.13 beta=90.13 gamma=55.79
Element x y z (fractional)
Ca (0.1879, 0.1879, 0.4989)
Ca (0.8121, 0.8121, 0.5011)
Tl (0.1595, 0.5218, 0.0010)
Tl (0.1814, 0.8186, 0.5000)
Tl (0.4782, 0.8405, 0.9990)
Tl (0.5218, 0.1595, 0.0010)
Tl (0.8186, 0.1814, 0.5000)
Tl (0.8405, 0.4782, 0.9990)
Hg (0.5000, 0.5000, 0.0000)

The calculation puts the density of states at the Fermi level at 4.97 states/eV/cell. The formation energy comes out at -1.153 eV per formula unit. The calculation puts the total magnetization at 0.000 μB/f.u.

---

No. 7
DFT (PBE) results for CaTlHg after structural relaxation.

Unit cell a=5.3637 b=5.3637 c=6.6344 alpha=90.00 beta=90.00 gamma=120.00
Element x y z (fractional)
Ca (0.3333, 0.6667, 0.2613)
Ca (0.6667, 0.3333, 0.7387)
Tl (0.0000, 0.0000, 0.0000)
Tl (0.0000, 0.0000, 0.5000)
Hg (0.3333, 0.6667, 0.7612)
Hg (0.6667, 0.3333, 0.2388)

The calculation puts the density of states at the Fermi level at 2.03 states/eV/cell. The formation energy comes out at -1.196 eV per formula unit. The calculation puts the total magnetization at 0.000 μB/f.u.

---

No. 8
DFT (PBE) results for CaTl2Hg after structural relaxation.

Unit cell a=4.0208 b=4.0208 c=7.0731 alpha=90.00 beta=90.00 gamma=90.00
Element x y z (fractional)
Ca (0.0000, 0.0000, 0.0000)
Tl (0.0000, 0.0000, 0.4784)
Tl (0.5000, 0.5000, 0.7304)
Hg (0.5000, 0.5000, 0.2294)

The calculation puts the density of states at the Fermi level at 1.76 states/eV/cell. The formation energy comes out at -1.012 eV per formula unit. The calculation puts the total magnetization at 0.000 μB/f.u.

---

No. 9
DFT (PBE) results for Ca3Tl4Hg after structural relaxation.

Unit cell a=5.3688 b=5.3688 c=7.9255 alpha=90.00 beta=90.00 gamma=90.00
Element x y z (fractional)
Ca (0.0000, 0.0000, 0.0000)
Ca (0.0000, 0.0000, 0.5000)
Ca (0.5000, 0.5000, 0.0000)
Tl (0.0000, 0.5000, 0.2579)
Tl (0.0000, 0.5000, 0.7422)
Tl (0.5000, 0.0000, 0.2579)
Tl (0.5000, 0.0000, 0.7422)
Hg (0.5000, 0.5000, 0.5000)

The calculation puts the density of states at the Fermi level at 3.17 states/eV/cell. The formation energy comes out at -2.544 eV per formula unit. The calculation puts the total magnetization at 0.000 μB/f.u.

---

No. 10
DFT (PBE) results for Ca8Tl2Hg after structural relaxation.

Unit cell a=9.1225 b=9.1225 c=9.1225 alpha=145.48 beta=120.92 gamma=70.26
Element x y z (fractional)
Ca (0.1281, 0.3433, 0.7848)
Ca (0.1347, 0.1347, 0.0000)
Ca (0.3203, 0.0000, 0.3203)
Ca (0.4415, 0.6567, 0.7848)
Ca (0.5585, 0.3433, 0.2152)
Ca (0.6797, 0.0000, 0.6797)
Ca (0.8653, 0.8653, 0.0000)
Ca (0.8719, 0.6567, 0.2152)
Tl (0.3026, 0.8026, 0.5000)
Tl (0.6974, 0.1974, 0.5000)
Hg (0.0000, 0.5000, 0.5000)

The calculation puts the density of states at the Fermi level at 8.28 states/eV/cell. The formation energy comes out at -2.682 eV per formula unit. The calculation puts the total magnetization at 0.000 μB/f.u.

---

No. 11
DFT (PBE) results for CaTl2Hg after structural relaxation.

Unit cell a=8.9447 b=8.9447 c=8.9447 alpha=26.17 beta=26.17 gamma=26.17
Element x y z (fractional)
Ca (0.0000, 0.0000, 0.0000)
Tl (0.4231, 0.4231, 0.4231)
Tl (0.5753, 0.5753, 0.5753)
Hg (0.1656, 0.1656, 0.1656)

The calculation puts the density of states at the Fermi level at 1.71 states/eV/cell. The formation energy comes out at -0.443 eV per formula unit. The calculation puts the total magnetization at 0.000 μB/f.u.

---

No. 12
DFT (PBE) results for Ca2Tl4Hg after structural relaxation.

Unit cell a=7.1963 b=7.1963 c=10.7928 alpha=90.00 beta=90.00 gamma=51.70
Element x y z (fractional)
Ca (0.1429, 0.1429, 0.0000)
Ca (0.3571, 0.3571, 0.5000)
Ca (0.6429, 0.6429, 0.5000)
Ca (0.8571, 0.8571, 0.0000)
Tl (0.0012, 0.4988, 0.7500)
Tl (0.2485, 0.7515, 0.7502)
Tl (0.2515, 0.7485, 0.2502)
Tl (0.4988, 0.0012, 0.2500)
Tl (0.5012, 0.9988, 0.7500)
Tl (0.7485, 0.2515, 0.7498)
Tl (0.7515, 0.2485, 0.2498)
Tl (0.9988, 0.5012, 0.2500)
Hg (0.0000, 0.0000, 0.5000)
Hg (0.5000, 0.5000, 0.0000)

The calculation puts the density of states at the Fermi level at 7.29 states/eV/cell. The formation energy comes out at -0.975 eV per formula unit. The calculation puts the total magnetization at 0.000 μB/f.u.